Record 1
First-principles (SCAN) data for a crystal of TiTl2RuPb relaxed with PBEsol, as listed in Alexandria.

**Symmetry**: P4/mmm (123)
**VASP energy**: -268.3 eV for the cell shown
**Calculated formation energy**: 0.6141 eV/atom

Cell lengths 4.3819, 5.3898, 5.3898 Å; angles 90.00, 90.00, 90.00 degrees
With the nearest neighbours (Å) after each atom.
Positions (direct):
Pb  0.5000  0.5000  0.5000  8 Tl 3.47, 4 Ru 3.81
Ru  0.5000  0.0000  0.0000  2 Ti 2.19
Tl  0.0000  0.0000  0.5000  2 Ti 2.69
Tl  0.0000  0.5000  0.0000  2 Ti 2.69
Ti  0.0000  0.0000  0.0000  2 Ru 2.19

=====

Record 2
First-principles (SCAN) data for a crystal of TlRuPb2 relaxed with PBEsol, as listed in Alexandria.

**Energy relative to the lowest polymorph listed for this composition**: 0.00 eV per formula unit
**Symmetry**: Pm (6)
**VASP energy**: -256.6 eV for the cell shown
**Calculated formation energy**: 0.5289 eV/atom

Cell lengths 3.5955, 4.7228, 5.6754 Å; angles 90.00, 108.48, 90.00 degrees
With the nearest neighbours (Å) after each atom.
Positions (direct):
Pb  0.0299  0.0000  0.9349  3 Ru 2.94-3.04, 4 Tl 3.10
Pb  0.7202  0.5000  0.3168  3 Tl 2.96-3.02, 4 Ru 3.09-3.10
Ru  0.3047  0.0000  0.4813  2 Tl 2.82, 7 Pb 2.94-3.10
Tl  0.4452  0.5000  0.7670  2 Ru 2.82, 7 Pb 2.96-3.10

=====

Record 3
First-principles (SCAN) data for a crystal of TlRuPb2 relaxed with PBEsol, as listed in Alexandria.

**Energy relative to the lowest polymorph listed for this composition**: 0.80 eV per formula unit
**Symmetry**: F-43m (216)
**VASP energy**: -255.8 eV for the cell shown
**Calculated formation energy**: 0.7296 eV/atom

Cell lengths 5.0530, 5.0530, 5.0530 Å; angles 60.00, 60.00, 60.00 degrees
With the nearest neighbours (Å) after each atom.
Positions (direct):
Pb  0.0000  0.0000  0.0000  4 Pb 3.09, 4 Tl 3.09
Pb  0.7500  0.7500  0.7500  4 Pb 3.09, 4 Ru 3.09
Ru  0.5000  0.5000  0.5000  4 Tl 3.09, 4 Pb 3.09
Tl  0.2500  0.2500  0.2500  4 Pb 3.09, 4 Ru 3.09

=====

Copy entry 1 word for word.
First-principles (SCAN) data for a crystal of TiTl2RuPb relaxed with PBEsol, as listed in Alexandria.

**Symmetry**: P4/mmm (123)
**VASP energy**: -268.3 eV for the cell shown
**Calculated formation energy**: 0.6141 eV/atom

Cell lengths 4.3819, 5.3898, 5.3898 Å; angles 90.00, 90.00, 90.00 degrees
With the nearest neighbours (Å) after each atom.
Positions (direct):
Pb  0.5000  0.5000  0.5000  8 Tl 3.47, 4 Ru 3.81
Ru  0.5000  0.0000  0.0000  2 Ti 2.19
Tl  0.0000  0.0000  0.5000  2 Ti 2.69
Tl  0.0000  0.5000  0.0000  2 Ti 2.69
Ti  0.0000  0.0000  0.0000  2 Ru 2.19